Entry 1:
Here is Ho7PtI12 at its PBEsol-relaxed geometry from Alexandria via LeMat-Bulk. Energies are from SCAN.

Unit cell a=9.471 b=9.471 c=9.471 alpha=107.44 beta=107.44 gamma=107.44
Element x y z (fractional)
Ho1 0.000 0.000 0.000
Ho2 0.191 0.396 0.467
Ho3 0.396 0.467 0.191
Ho4 0.467 0.191 0.396
Ho5 0.533 0.809 0.604
Ho6 0.604 0.533 0.809
Ho7 0.809 0.604 0.533
Pt1 0.500 0.500 0.500
I1 0.025 0.343 0.106
I2 0.106 0.025 0.343
I3 0.178 0.730 0.575
I4 0.270 0.425 0.822
I5 0.343 0.106 0.025
I6 0.425 0.822 0.270
I7 0.575 0.178 0.730
I8 0.657 0.894 0.975
I9 0.730 0.575 0.178
I10 0.822 0.270 0.425
I11 0.894 0.975 0.657
I12 0.975 0.657 0.894

Values from the calculation:
Its space group is No. 148. The total energy comes out at -882.391 eV for the cell shown. Its formation energy (no corrections) is -1.42 eV/atom. The calculation puts the density at 6.8 Mg/m³.


Entry 2:
Here is Sc3InC at its PBEsol-relaxed geometry from Alexandria via LeMat-Bulk. Energies are from SCAN.

Unit cell a=4.506 b=4.506 c=4.506 alpha=90.00 beta=90.00 gamma=90.00
Element x y z (fractional)
Sc1 0.000 0.000 0.500
Sc2 0.000 0.500 0.000
Sc3 0.500 0.000 0.000
In1 0.500 0.500 0.500
C1 0.000 0.000 0.000

Values from the calculation:
Its space group is No. 221. The total energy comes out at -90.377 eV for the cell shown. The calculation puts the density at 4.8 Mg/m³. Its formation energy is -403 kJ/mol of formula units.


Entry 3:
Here is BaMn2N4 at its PBEsol-relaxed geometry from Alexandria via LeMat-Bulk. Energies are from SCAN.

Unit cell a=10.553 b=10.553 c=10.553 alpha=90.00 beta=90.00 gamma=90.00
Element x y z (fractional)
Ba1 0.000 0.000 0.000
Ba2 0.000 0.500 0.500
Ba3 0.125 0.625 0.875
Ba4 0.125 0.875 0.375
Ba5 0.375 0.125 0.875
Ba6 0.375 0.375 0.375
Ba7 0.500 0.000 0.500
Ba8 0.500 0.500 0.000
Ba9 0.625 0.625 0.625
Ba10 0.625 0.875 0.125
Ba11 0.875 0.125 0.625
Ba12 0.875 0.375 0.125
Mn1 0.114 0.194 0.347
Mn2 0.114 0.306 0.847
Mn3 0.153 0.614 0.194
Mn4 0.153 0.886 0.694
Mn5 0.194 0.153 0.614
Mn6 0.194 0.347 0.114
Mn7 0.306 0.653 0.614
Mn8 0.306 0.847 0.114
Mn9 0.347 0.114 0.194
Mn10 0.347 0.386 0.694
Mn11 0.386 0.694 0.347
Mn12 0.386 0.806 0.847
Mn13 0.614 0.194 0.153
Mn14 0.614 0.306 0.653
Mn15 0.653 0.614 0.306
Mn16 0.653 0.886 0.806
Mn17 0.694 0.153 0.886
Mn18 0.694 0.347 0.386
Mn19 0.806 0.653 0.886
Mn20 0.806 0.847 0.386
Mn21 0.847 0.114 0.306
Mn22 0.847 0.386 0.806
Mn23 0.886 0.694 0.153
Mn24 0.886 0.806 0.653
N1 0.004 0.088 0.272
N2 0.004 0.412 0.772
N3 0.088 0.228 0.504
N4 0.088 0.272 0.004
N5 0.126 0.168 0.761
N6 0.126 0.332 0.261
N7 0.168 0.739 0.626
N8 0.168 0.761 0.126
N9 0.228 0.504 0.088
N10 0.228 0.996 0.588
N11 0.239 0.626 0.332
N12 0.239 0.874 0.832
N13 0.261 0.126 0.332
N14 0.261 0.374 0.832
N15 0.272 0.004 0.088
N16 0.272 0.496 0.588
N17 0.332 0.239 0.626
N18 0.332 0.261 0.126
N19 0.374 0.668 0.761
N20 0.374 0.832 0.261
N21 0.412 0.728 0.504
N22 0.412 0.772 0.004
N23 0.496 0.588 0.272
N24 0.496 0.912 0.772
N25 0.504 0.088 0.228
N26 0.504 0.412 0.728
N27 0.588 0.228 0.996
N28 0.588 0.272 0.496
N29 0.626 0.168 0.739
N30 0.626 0.332 0.239
N31 0.668 0.739 0.874
N32 0.668 0.761 0.374
N33 0.728 0.504 0.412
N34 0.728 0.996 0.912
N35 0.739 0.626 0.168
N36 0.739 0.874 0.668
N37 0.761 0.126 0.168
N38 0.761 0.374 0.668
N39 0.772 0.004 0.412
N40 0.772 0.496 0.912
N41 0.832 0.239 0.874
N42 0.832 0.261 0.374
N43 0.874 0.668 0.739
N44 0.874 0.832 0.239
N45 0.912 0.728 0.996
N46 0.912 0.772 0.496
N47 0.996 0.588 0.228
N48 0.996 0.912 0.728

Values from the calculation:
Its space group is No. 205. The total energy comes out at -1403.880 eV for the cell shown. Its formation energy (no corrections) is -0.54 eV/atom. The calculation puts the density at 5.1 Mg/m³.